Tb2ZnHg: relaxed, PBE-GGA.

a b c (Å): 3.629 3.629 7.431
angles (deg): 90.00 90.00 90.00
Sites, in units of the cell vectors:
Tb (0.000, 0.000, 0.233)
Tb (0.000, 0.000, 0.767)
Zn (0.500, 0.500, 0.000)
Hg (0.500, 0.500, 0.500)

Results
Its density of states at the Fermi level is 1.009 states/eV per atom. The calculation puts the formation energy at -0.4130 eV/atom. The calculation puts the offset from the most stable computed form at 0.0000 eV per atom.